Entry 1:
8
Lattice="6.341 0.000 0.000 0.000 6.341 0.000 0.000 0.000 6.341" Properties=species:S:1:pos:R:3 comment="Nd4GaSb3 (PBE-GGA, relaxed)" spacegroup="No. 221" pbc="T T T"
Nd 0.000 0.000 0.000
Nd 0.000 3.171 3.171
Nd 3.171 0.000 3.171
Nd 3.171 3.171 0.000
Ga 3.171 3.171 3.171
Sb 0.000 0.000 3.171
Sb 0.000 3.171 0.000
Sb 3.171 0.000 0.000

Entry 2:
7
Lattice="4.378 0.000 0.000 0.000 4.378 0.000 0.000 0.000 10.521" Properties=species:S:1:pos:R:3 comment="Nd2GaSb4 (PBE-GGA, relaxed)" spacegroup="No. 115" pbc="T T T"
Nd 0.000 2.189 2.481
Nd 2.189 0.000 8.039
Ga 0.000 0.000 5.260
Sb 0.000 0.000 0.000
Sb 0.000 2.189 6.945
Sb 2.189 0.000 3.576
Sb 2.189 2.189 0.000

Entry 3:
11
Lattice="9.899 -2.523 0.000 9.899 2.523 0.000 -1.533 0.000 6.909" Properties=species:S:1:pos:R:3 comment="Nd8Ga2Sb (PBE-GGA, relaxed)" spacegroup="No. 12" pbc="T T T"
Nd 0.254 0.000 1.815
Nd 2.892 0.000 5.702
Nd 5.859 0.000 3.575
Nd 7.979 0.000 0.292
Nd 10.287 0.000 6.617
Nd 12.407 0.000 3.334
Nd 15.374 0.000 1.207
Nd 18.011 0.000 5.095
Ga 3.344 0.000 1.712
Ga 14.921 0.000 5.197
Sb 9.133 0.000 3.455

For each record above, in turn, the calculated electronic total energy values are -5.2444 -4.8366 -4.7529 eV/atom.